No. 1
NdC2O6 | PBE-GGA | optimized geometry

Unit cell a=6.473 b=6.473 c=6.907 alpha=118.37 beta=118.37 gamma=72.69
Atoms (fractional coordinates):
Nd  0.188  0.812  0.750
Nd  0.812  0.188  0.250
C  0.219  0.330  0.863
C  0.330  0.219  0.363
C  0.670  0.781  0.637
C  0.781  0.670  0.137
O  0.053  0.204  0.679
O  0.204  0.053  0.179
O  0.207  0.551  0.927
O  0.221  0.395  0.484
O  0.395  0.221  0.984
O  0.449  0.793  0.573
O  0.551  0.207  0.427
O  0.605  0.779  0.016
O  0.779  0.605  0.516
O  0.793  0.449  0.073
O  0.796  0.947  0.821
O  0.947  0.796  0.321

Values from the calculation:
Space group: No. 15
Uncorrected formation energy in meV/atom: -1863
E_tot in eV/cell: -139.469


No. 2
Nd4CO4 | PBE-GGA | optimized geometry

Unit cell a=6.797 b=6.797 c=6.797 alpha=129.09 beta=129.09 gamma=74.87
Atoms (fractional coordinates):
Nd  0.101  0.663  0.000
Nd  0.337  0.337  0.438
Nd  0.663  0.101  0.000
Nd  0.899  0.899  0.562
C  0.000  0.000  0.000
O  0.000  0.500  0.500
O  0.272  0.272  0.000
O  0.500  0.000  0.500
O  0.728  0.728  0.000

Values from the calculation:
Space group: No. 121
Uncorrected formation energy in meV/atom: -2117
E_tot in eV/cell: -67.183